(1)
LiDy3Ag2 | PBE | optimized geometry

Lattice parameters (Å, degrees): 5.125 15.464 3.668 90.00 90.00 90.00
Space group Cmmm (No. 65)
One atom of each set of equivalent atoms:
1 Li 0.000 0.000 0.000
2 Dy 0.000 0.171 0.500
3 Dy 0.000 0.500 0.500
4 Ag 0.000 0.340 0.000

E above lowest polymorph ... 0 meV per atom
N(E_F) ... 0.64 states/eV per atom
Energy of formation ... -0.19 eV/atom

(2)
Li12DyAg6 | PBE | optimized geometry

Lattice parameters (Å, degrees): 11.3623 11.3623 9.8761 90.00 90.00 120.00
Space group R-3m (No. 166, hexagonal axes)
One atom of each set of equivalent atoms:
1 Li 0.0000 0.3898 0.0000
2 Li 0.0914 0.1829 0.8557
3 Dy 0.0000 0.0000 0.5000
4 Ag 0.0126 0.5063 0.2320

N(E_F) ... 0.43 states/eV per atom
Energy of formation ... -0.05 eV/atom

(3)
Li4DyAg2 | PBE | optimized geometry

Lattice parameters (Å, degrees): 3.940 17.872 4.005 90.00 90.00 90.00
Space group Cmmm (No. 65)
One atom of each set of equivalent atoms:
1 Li 0.000 0.180 0.000
2 Li 0.000 0.316 0.500
3 Dy 0.000 0.500 0.000
4 Ag 0.000 0.079 0.500

N(E_F) ... 0.44 states/eV per atom
Energy of formation ... -0.13 eV/atom

(4)
Li2DyAg | PBE | optimized geometry

Lattice parameters (Å, degrees): 6.799 6.799 6.799 90.00 90.00 90.00
Space group Fm-3m (No. 225)
One atom of each set of equivalent atoms:
1 Li 0.250 0.250 0.250
2 Dy 0.000 0.000 0.000
3 Ag 0.000 0.000 0.500

E above lowest polymorph ... 64 meV per atom
N(E_F) ... 0.91 states/eV per atom
Energy of formation ... 0.03 eV/atom

(5)
LiDy3Ag2 | PBE | optimized geometry

Lattice parameters (Å, degrees): 3.649 3.649 10.972 90.00 90.00 90.00
Space group P4/mmm (No. 123)
One atom of each set of equivalent atoms:
1 Li 0.000 0.000 0.000
2 Dy 0.500 0.500 0.172
3 Dy 0.500 0.500 0.500
4 Ag 0.000 0.000 0.331

E above lowest polymorph ... 12 meV per atom
N(E_F) ... 0.61 states/eV per atom
Energy of formation ... -0.17 eV/atom

(6)
Li2DyAg2 | PBE | optimized geometry

Lattice parameters (Å, degrees): 9.643 6.291 7.455 90.00 113.47 90.00
Space group C2/c (No. 15)
One atom of each set of equivalent atoms:
1 Li 0.122 0.092 0.448
2 Dy 0.000 0.420 0.750
3 Ag 0.195 0.270 0.160

E above lowest polymorph ... 30 meV per atom
N(E_F) ... 0.45 states/eV per atom
Energy of formation ... -0.16 eV/atom

(7)
Li7DyAg4 | PBE | optimized geometry

Lattice parameters (Å, degrees): 13.429 4.915 8.614 90.00 127.50 90.00
Space group C2/m (No. 12)
One atom of each set of equivalent atoms:
1 Li 0.000 0.000 0.000
2 Li 0.062 0.500 0.418
3 Li 0.192 0.000 0.643
4 Li 0.221 0.500 0.880
5 Dy 0.000 0.500 0.000
6 Ag 0.053 0.000 0.762
7 Ag 0.193 0.000 0.345

N(E_F) ... 0.51 states/eV per atom
Energy of formation ... 0.02 eV/atom

(8)
LiDy3Ag4 | PBE | optimized geometry

Lattice parameters (Å, degrees): 5.0495 5.0495 24.6266 90.00 90.00 120.00
Space group R-3m (No. 166, hexagonal axes)
One atom of each set of equivalent atoms:
1 Li 0.0000 0.0000 0.0000
2 Dy 0.0000 0.0000 0.2535
3 Dy 0.0000 0.0000 0.5000
4 Ag 0.0000 0.0000 0.1235
5 Ag 0.0000 0.0000 0.3761

N(E_F) ... 0.65 states/eV per atom
Energy of formation ... -0.25 eV/atom

(9)
LiDyMgAg | PBE | optimized geometry

Lattice parameters (Å, degrees): 6.990 6.990 6.990 90.00 90.00 90.00
Space group F-43m (No. 216)
One atom of each set of equivalent atoms:
1 Li 0.000 0.000 0.000
2 Dy 0.250 0.250 0.750
3 Mg 0.250 0.250 0.250
4 Ag 0.000 0.000 0.500

N(E_F) ... 1.49 states/eV per atom
Energy of formation ... -0.16 eV/atom

(10)
LiDyMg2Ag4 | PBE | optimized geometry

Lattice parameters (Å, degrees): 4.7751 4.7751 23.8474 90.00 90.00 120.00
Space group R-3m (No. 166, hexagonal axes)
One atom of each set of equivalent atoms:
1 Li 0.0000 0.0000 0.0000
2 Dy 0.0000 0.0000 0.5000
3 Mg 0.0000 0.0000 0.2527
4 Ag 0.0000 0.0000 0.1123
5 Ag 0.0000 0.0000 0.3719

N(E_F) ... 0.52 states/eV per atom
Energy of formation ... -0.24 eV/atom

(11)
Li2DyAg2Pb2 | PBE | optimized geometry

Lattice parameters (Å, degrees): 4.7604 4.7604 23.5573 90.00 90.00 120.00
Space group R-3m (No. 166, hexagonal axes)
One atom of each set of equivalent atoms:
1 Li 0.0000 0.0000 0.1402
2 Dy 0.0000 0.0000 0.0000
3 Ag 0.0000 0.0000 0.4381
4 Pb 0.0000 0.0000 0.2642

N(E_F) ... 0.47 states/eV per atom
Energy of formation ... -0.26 eV/atom

(12)
LiDyAgPd | PBE | optimized geometry

Lattice parameters (Å, degrees): 6.802 6.802 6.802 90.00 90.00 90.00
Space group F-43m (No. 216)
One atom of each set of equivalent atoms:
1 Li 0.000 0.000 0.000
2 Dy 0.000 0.000 0.500
3 Ag 0.250 0.250 0.750
4 Pd 0.250 0.250 0.250

N(E_F) ... 0.61 states/eV per atom
Energy of formation ... -0.44 eV/atom

(13)
LiPrDyAg | PBE | optimized geometry

Lattice parameters (Å, degrees): 7.462 7.462 7.462 90.00 90.00 90.00
Space group F-43m (No. 216)
One atom of each set of equivalent atoms:
1 Li 0.000 0.000 0.000
2 Pr 0.250 0.250 0.750
3 Dy 0.250 0.250 0.250
4 Ag 0.000 0.000 0.500

N(E_F) ... 1.28 states/eV per atom
Energy of formation ... -0.07 eV/atom

(14)
LiDyAgPt | PBE | optimized geometry

Lattice parameters (Å, degrees): 6.767 6.767 6.767 90.00 90.00 90.00
Space group F-43m (No. 216)
One atom of each set of equivalent atoms:
1 Li 0.000 0.000 0.000
2 Dy 0.000 0.000 0.500
3 Ag 0.250 0.250 0.250
4 Pt 0.250 0.250 0.750

N(E_F) ... 0.69 states/eV per atom
Energy of formation ... -0.60 eV/atom

(15)
LiDyAgRh | PBE | optimized geometry

Lattice parameters (Å, degrees): 6.684 6.684 6.684 90.00 90.00 90.00
Space group F-43m (No. 216)
One atom of each set of equivalent atoms:
1 Li 0.000 0.000 0.000
2 Dy 0.000 0.000 0.500
3 Ag 0.250 0.250 0.250
4 Rh 0.250 0.250 0.750

N(E_F) ... 0.07 states/eV per atom
Energy of formation ... -0.36 eV/atom

(16)
LiDy2AgS4 | PBE | optimized geometry

Lattice parameters (Å, degrees): 6.613 3.972 6.867 90.00 110.27 90.00
Space group P2/m (No. 10)
One atom of each set of equivalent atoms:
1 Li 0.000 0.000 0.000
2 Dy 0.500 0.000 0.500
3 Dy 0.500 0.500 0.000
4 Ag 0.000 0.500 0.500
5 S 0.256 0.000 0.756
6 S 0.256 0.500 0.248

N(E_F) ... 0.00 states/eV per atom
E_form (uncorrected) ... -12.51 eV per formula unit

(17)
LiDyScAg | PBE | optimized geometry

Lattice parameters (Å, degrees): 7.088 7.088 7.088 90.00 90.00 90.00
Space group F-43m (No. 216)
One atom of each set of equivalent atoms:
1 Li 0.000 0.000 0.000
2 Dy 0.250 0.250 0.250
3 Sc 0.250 0.250 0.750
4 Ag 0.000 0.000 0.500

N(E_F) ... 0.94 states/eV per atom
Energy of formation ... -0.07 eV/atom

(18)
LiDy2AgSe4 | PBE | optimized geometry

Lattice parameters (Å, degrees): 6.947 4.123 7.131 90.00 110.13 90.00
Space group P2/m (No. 10)
One atom of each set of equivalent atoms:
1 Li 0.000 0.000 0.000
2 Dy 0.500 0.000 0.500
3 Dy 0.500 0.500 0.000
4 Ag 0.000 0.500 0.500
5 Se 0.252 0.000 0.754
6 Se 0.252 0.500 0.247

E_form (uncorrected) ... -11.43 eV per formula unit

(19)
LiDySiAg | PBE | optimized geometry

Lattice parameters (Å, degrees): 6.779 6.779 6.779 90.00 90.00 90.00
Space group F-43m (No. 216)
One atom of each set of equivalent atoms:
1 Li 0.000 0.000 0.000
2 Dy 0.000 0.000 0.500
3 Si 0.250 0.250 0.250
4 Ag 0.250 0.250 0.750

N(E_F) ... 0.47 states/eV per atom
E_form (uncorrected) ... -1.39 eV per formula unit

(20)
Li2DyAg2Sn2 | PBE | optimized geometry

Lattice parameters (Å, degrees): 4.6574 4.6574 23.4548 90.00 90.00 120.00
Space group R-3m (No. 166, hexagonal axes)
One atom of each set of equivalent atoms:
1 Li 0.0000 0.0000 0.1395
2 Dy 0.0000 0.0000 0.0000
3 Ag 0.0000 0.0000 0.4357
4 Sn 0.0000 0.0000 0.2618

N(E_F) ... 0.47 states/eV per atom
Energy of formation ... -0.39 eV/atom

(21)
LiDyAgSn | PBE | optimized geometry

Lattice parameters (Å, degrees): 7.078 7.078 7.078 90.00 90.00 90.00
Space group F-43m (No. 216)
One atom of each set of equivalent atoms:
1 Li 0.000 0.000 0.000
2 Dy 0.000 0.000 0.500
3 Ag 0.250 0.250 0.750
4 Sn 0.250 0.250 0.250

N(E_F) ... 0.56 states/eV per atom
Energy of formation ... -0.44 eV/atom

(22)
LiTbDyAg | PBE | optimized geometry

Lattice parameters (Å, degrees): 7.317 7.317 7.317 90.00 90.00 90.00
Space group F-43m (No. 216)
One atom of each set of equivalent atoms:
1 Li 0.000 0.000 0.000
2 Tb 0.250 0.250 0.250
3 Dy 0.250 0.250 0.750
4 Ag 0.000 0.000 0.500

N(E_F) ... 0.98 states/eV per atom
Energy of formation ... -0.09 eV/atom

(23)
Li2DyTl2Ag2 | PBE | optimized geometry

Lattice parameters (Å, degrees): 4.8604 4.8604 21.7386 90.00 90.00 120.00
Space group R-3m (No. 166, hexagonal axes)
One atom of each set of equivalent atoms:
1 Li 0.0000 0.0000 0.1443
2 Dy 0.0000 0.0000 0.0000
3 Tl 0.0000 0.0000 0.2702
4 Ag 0.0000 0.0000 0.4318

N(E_F) ... 0.48 states/eV per atom
Energy of formation ... -0.17 eV/atom

(24)
LiDyTlAg | PBE | optimized geometry

Lattice parameters (Å, degrees): 6.938 6.938 6.938 90.00 90.00 90.00
Space group F-43m (No. 216)
One atom of each set of equivalent atoms:
1 Li 0.000 0.000 0.000
2 Dy 0.250 0.250 0.250
3 Tl 0.250 0.250 0.750
4 Ag 0.000 0.000 0.500

N(E_F) ... 0.27 states/eV per atom
Energy of formation ... -0.27 eV/atom

(25)
LiDyTlAg | PBE | optimized geometry

Lattice parameters (Å, degrees): 7.090 7.090 7.090 90.00 90.00 90.00
Space group F-43m (No. 216)
One atom of each set of equivalent atoms:
1 Li 0.000 0.000 0.000
2 Dy 0.000 0.000 0.500
3 Tl 0.250 0.250 0.250
4 Ag 0.250 0.250 0.750

N(E_F) ... 0.37 states/eV per atom
Energy of formation ... -0.27 eV/atom

(26)
LiDyTmAg | PBE | optimized geometry

Lattice parameters (Å, degrees): 7.246 7.246 7.246 90.00 90.00 90.00
Space group F-43m (No. 216)
One atom of each set of equivalent atoms:
1 Li 0.000 0.000 0.000
2 Dy 0.250 0.250 0.250
3 Tm 0.250 0.250 0.750
4 Ag 0.000 0.000 0.500

N(E_F) ... 0.89 states/eV per atom
Energy of formation ... -0.10 eV/atom

(27)
LiDyYAg | PBE | optimized geometry

Lattice parameters (Å, degrees): 3.690 5.118 5.160 90.00 90.00 90.00
Space group Pmmm (No. 47)
One atom of each set of equivalent atoms:
1 Li 0.000 0.000 0.000
2 Dy 0.500 0.000 0.500
3 Y 0.500 0.500 0.000
4 Ag 0.000 0.500 0.500

E above lowest polymorph ... 0 meV per atom
N(E_F) ... 0.79 states/eV per atom
Energy of formation ... -0.12 eV/atom

Density values (in g/cm³) by entry order: 8.114; 4.029; 4.781; 6.008; 8.070; 6.279; 4.731; 8.482; 5.867; 6.871; 8.690; 8.100; 6.685; 10.125; 8.455; 5.576; 6.010; 6.543; 6.511; 7.118; 7.419; 7.396; 8.971; 9.579; 8.976; 7.791; 6.241.